Record 1
DFT (PBE) results for a relaxed structure of As2NCl.

The structure in POSCAR format:
```
As2NCl
1.0
-2.967 -4.070 -0.523
3.605 -2.278 -2.731
2.800 -5.672 3.733
N Cl As
2 2 4
Direct
0.250 0.750 0.500
0.500 0.500 0.000
0.750 0.250 0.500
0.000 0.000 0.000
0.271 0.625 0.250
0.479 0.125 0.250
0.875 0.729 0.750
0.375 0.521 0.750
```

Results
* crystal system: tetragonal
* ΔE to the lowest computed polymorph: 0.0000 eV/atom
* density of states at the Fermi level: 0.1 states/eV/cell
* SG: I-42d, No. 122



Record 2
DFT (PBE) results for a relaxed structure of As3NCl.

The structure in POSCAR format:
```
As3NCl
1.0
4.483 0.000 0.000
0.000 4.483 0.000
0.000 0.000 4.483
As Cl N
3 1 1
Direct
0.500 0.000 0.000
0.000 0.500 0.000
0.000 0.000 0.500
0.500 0.500 0.500
0.000 0.000 0.000
```

Results
* crystal system: cubic
* ΔE to the lowest computed polymorph: 0.0000 eV/atom
* density of states at the Fermi level: 5.9 states/eV/cell
* SG: Pm-3m, No. 221



Record 3
DFT (PBE) results for a relaxed structure of As2N4Cl.

The structure in POSCAR format:
```
As2N4Cl
1.0
4.213 0.000 0.000
0.000 4.213 0.000
2.107 2.107 4.972
N As Cl
4 2 1
Direct
0.000 0.500 0.000
0.814 0.814 0.372
0.186 0.186 0.628
0.500 0.000 0.000
0.642 0.642 0.717
0.358 0.358 0.283
0.000 0.000 0.000
```

Results
* crystal system: tetragonal
* density of states at the Fermi level: 2.9 states/eV/cell
* SG: I4/mmm, No. 139



Record 4
DFT (PBE) results for a relaxed structure of As3NCl.

The structure in POSCAR format:
```
As3NCl
1.0
4.817 0.000 0.000
0.000 4.817 0.000
0.000 0.000 4.817
As N Cl
3 1 1
Direct
0.000 0.000 0.500
0.000 0.500 0.000
0.500 0.000 0.000
0.500 0.500 0.500
0.000 0.000 0.000
```

Results
* crystal system: cubic
* ΔE to the lowest computed polymorph: 1.3485 eV/atom
* density of states at the Fermi level: 7.6 states/eV/cell
* SG: Pm-3m, No. 221



Record 5
DFT (PBE) results for a relaxed structure of As2NCl.

The structure in POSCAR format:
```
As2NCl
1.0
0.000 3.141 3.141
3.141 0.000 3.141
3.141 3.141 0.000
As Cl N
2 1 1
Direct
0.750 0.750 0.750
0.250 0.250 0.250
0.500 0.500 0.500
0.000 0.000 0.000
```

Results
* crystal system: cubic
* ΔE to the lowest computed polymorph: 0.7578 eV/atom
* density of states at the Fermi level: 3.0 states/eV/cell
* SG: Fm-3m, No. 225



Record 6
DFT (PBE) results for a relaxed structure of AsN2Cl4.

The structure in POSCAR format:
```
AsN2Cl4
1.0
3.427 -0.706 -1.074
1.656 6.407 -0.518
-0.977 -0.073 9.075
Cl N As
4 2 1
Direct
0.651 0.806 0.126
0.253 0.306 0.287
0.747 0.694 0.713
0.349 0.194 0.874
0.735 0.750 0.547
0.265 0.250 0.453
0.000 0.000 0.000
```

Results
* crystal system: triclinic
* SG: P-1, No. 2



no.,E_tot (eV/atom),total moment (μB per formula unit)
1,-4.293,0.0
2,-3.895,0.0
3,-4.284,0.0
4,-2.547,0.0
5,-3.535,0.0
6,-3.356,3.0